The following is a DFT calculation (PBE) of crystalline PmTaFeP2 at its relaxed geometry.

Results
SG   I-4m2 (119)
Formation energy   -4.0 eV per formula unit
Total magnetic moment   0.42 μB/atom

Cell and atoms, written as POSCAR:
```
PmTaFeP2
1.0
-1.9174 1.9174 6.0210
1.9174 -1.9174 6.0210
1.9174 1.9174 -6.0210
Pm Ta Fe P
1 1 1 2
Direct
0.0000 0.0000 0.0000 Pm
0.2500 0.7500 0.5000 Ta
0.7500 0.2500 0.5000 Fe
0.3760 0.3760 0.0000 P
0.6240 0.6240 0.0000 P
```